[1]
P2SeF | GGA-PBE | optimized geometry

Cell lengths 4.4004, 4.4004, 4.4004 Å; angles 60.00, 60.00, 60.00 degrees
With the nearest neighbours (Å) after each atom.
Positions (direct):
P1 0.2500 0.2500 0.2500  4 F 2.69, 4 Se 2.69
P2 0.7500 0.7500 0.7500  4 F 2.69, 4 Se 2.69
Se1 0.0000 0.0000 0.0000  8 P 2.69
F1 0.5000 0.5000 0.5000  8 P 2.69

Calculated values
* space-group type: No. 225
* energy above the most stable polymorph in this dataset: 267 meV/atom
* energy relative to the elements, uncorrected: 1.0 eV per formula unit

=====

[2]
KRbTlAs | GGA-PBE | optimized geometry

Cell lengths 5.7352, 5.7352, 5.7352 Å; angles 60.00, 60.00, 60.00 degrees
With the nearest neighbours (Å) after each atom.
Positions (direct):
K1 0.0000 0.0000 0.0000  4 As 3.51, 4 Rb 3.51
Rb1 0.7500 0.7500 0.7500  4 Tl 3.51, 4 K 3.51
Tl1 0.5000 0.5000 0.5000  4 As 3.51, 4 Rb 3.51
As1 0.2500 0.2500 0.2500  4 Tl 3.51, 4 K 3.51

Calculated values
* ΔH_f (0 K): -66.3 kJ/mol of formula units
* space-group type: No. 216
* energy above the most stable polymorph in this dataset: 120 meV/atom

=====

[3]
GaCo2RePd | GGA-PBE | optimized geometry

Cell lengths 4.2687, 4.2687, 4.6200 Å; angles 90.00, 90.00, 90.00 degrees
With the nearest neighbours (Å) after each atom.
Positions (direct):
Ga1 0.0000 0.0000 0.0000  4 Co 2.13, 2 Re 2.31
Co1 0.0000 0.5000 0.0000  2 Ga 2.13
Co2 0.5000 0.0000 0.0000  2 Ga 2.13
Re1 0.0000 0.0000 0.5000  2 Ga 2.31
Pd1 0.5000 0.5000 0.5000  4 Re 3.02, 8 Co 3.15

Calculated values
* ΔH_f (0 K): 652.7 kJ/mol of formula units
* space-group type: No. 123

=====

no.,magnetization (μB per formula unit)
1,0.00
2,0.00
3,5.20